No. 1
PmZrAl: relaxed, PBE-GGA.

abc: 6.965 6.965 6.965
angles: 90.00 90.00 90.00
Space group F-43m (No. 216)
Unique sites:
Pm 0.000 0.000 0.000 x4
Zr 0.250 0.250 0.750 x4
Al 0.000 0.000 0.500 x4

## Properties
Its excess energy over the best structure of this formula in the dataset is 0.000 eV/atom.



No. 2
LiPPt5: relaxed, PBE-GGA.

abc: 3.898 3.898 6.963
angles: 90.00 90.00 90.00
Space group P4/mmm (No. 123)
Unique sites:
Li 0.000 0.000 0.000 x1
P 0.500 0.500 0.500 x1
Pt 0.000 0.500 0.288 x4
Pt 0.500 0.500 0.000 x1

## Properties
The value obtained for the total energy is -5.80 eV per atom.



No. 3
Cs2ThTe3: relaxed, PBE-GGA.

abc: 8.521 14.733 9.405
angles: 90.00 108.07 90.00
Space group C2/m (No. 12)
Unique sites:
Cs 0.000 0.000 0.000 x2
Cs 0.000 0.151 0.500 x4
Cs 0.000 0.500 0.500 x2
Th 0.000 0.332 0.000 x4
Te 0.182 0.500 0.195 x4
Te 0.237 0.307 0.799 x8

## Properties
Its excess energy over the best structure of this formula in the dataset is 0.000 eV/atom.



No. 4
CsSmBiSe3: relaxed, PBE-GGA.

abc: 4.619 16.699 12.106
angles: 90.00 90.00 90.00
Space group Cmcm (No. 63)
Unique sites:
Cs 0.000 0.203 0.250 x4
Sm 0.000 0.500 0.000 x4
Bi 0.000 0.090 0.750 x4
Se 0.000 0.113 0.510 x8
Se 0.000 0.497 0.750 x4

## Properties
The value obtained for the total energy is -4.41 eV per atom.



No. 5
AcZnAs: relaxed, PBE-GGA.

abc: 6.920 6.920 6.920
angles: 90.00 90.00 90.00
Space group F-43m (No. 216)
Unique sites:
Ac 0.000 0.000 0.000 x4
Zn 0.250 0.250 0.250 x4
As 0.000 0.000 0.500 x4

## Properties
Its excess energy over the best structure of this formula in the dataset is 0.000 eV/atom.



No. 6
CsTe4PbAu3: relaxed, PBE-GGA.

abc: 7.122 7.122 7.122
angles: 90.00 90.00 90.00
Space group P-43m (No. 215)
Unique sites:
Cs 0.000 0.000 0.000 x1
Te 0.275 0.275 0.275 x4
Pb 0.500 0.500 0.500 x1
Au 0.000 0.500 0.500 x3

## Properties
The value obtained for the total energy is -2.97 eV per atom.



No. 7
LaTbZn2Ge2: relaxed, PBE-GGA.

abc: 4.3035 4.3035 16.3297
angles: 90.00 90.00 120.00
Space group P6_3/mmc (No. 194)
Unique sites:
La 0.0000 0.0000 0.0000 x2
Tb 0.0000 0.0000 0.2500 x2
Zn 0.3333 0.6667 0.1539 x4
Ge 0.3333 0.6667 0.6196 x4

## Properties
Its excess energy over the best structure of this formula in the dataset is 0.000 eV/atom.



No. 8
LiSmHgTe3: relaxed, PBE-GGA.

abc: 4.350 14.801 11.654
angles: 90.00 90.00 90.00
Space group Cmcm (No. 63)
Unique sites:
Li 0.000 0.193 0.250 x4
Sm 0.000 0.000 0.000 x4
Hg 0.000 0.479 0.750 x4
Te 0.000 0.104 0.750 x4
Te 0.000 0.353 0.565 x8

## Properties
Its excess energy over the best structure of this formula in the dataset is 0.000 eV/atom.



No. 9
AgPPb: relaxed, PBE-GGA.

abc: 9.931 4.473 6.703
angles: 90.00 90.00 90.00
Space group Pnma (No. 62)
Unique sites:
Ag 0.041 0.250 0.112 x4
P 0.176 0.750 0.124 x4
Pb 0.152 0.750 0.527 x4

## Properties
Its excess energy over the best structure of this formula in the dataset is 0.014 eV/atom.



No. 10
Nd2GdAl3Cu2Ni: relaxed, PBE-GGA.

abc: 4.072 12.368 7.058
angles: 90.00 90.00 90.00
Space group Amm2 (No. 38)
Unique sites:
Nd 0.000 0.206 0.000 x4
Gd 0.000 0.000 0.619 x2
Al 0.500 0.000 0.980 x2
Al 0.500 0.112 0.322 x4
Cu 0.500 0.163 0.705 x4
Ni 0.000 0.000 0.211 x2

## Properties
The value obtained for the total energy is -4.72 eV per atom.



No. 11
K2RbTaSe4: relaxed, PBE-GGA.

abc: 8.134 8.134 8.420
angles: 90.00 90.00 90.00
Space group I-42m (No. 121)
Unique sites:
K 0.000 0.500 0.000 x4
Rb 0.000 0.000 0.000 x2
Ta 0.000 0.000 0.500 x2
Se 0.173 0.173 0.666 x8

## Properties
The value obtained for the total energy is -4.74 eV per atom.



No. 12
Hf4BeN2: relaxed, PBE-GGA.

abc: 3.262 10.849 11.281
angles: 90.00 90.00 90.00
Space group Cmcm (No. 63)
Unique sites:
Hf 0.000 0.000 0.000 x4
Hf 0.000 0.266 0.112 x8
Hf 0.000 0.432 0.750 x4
Be 0.000 0.111 0.750 x4
N 0.000 0.366 0.562 x8

## Properties
The value obtained for the total energy is -9.73 eV per atom.